[1]
A geometry-optimized Ce2Ga3Cu5 structure. Source: Alexandria, functional PBE-GGA.

Computed properties:
- calculated density (Mg/m³) = 7.6
- crystal system = orthorhombic
- E_form (eV/atom) = -0.30

a b c (Å): 5.9623 8.2874 8.2874
angles (deg): 74.49 68.92 68.92
Each line ends with the local moment (μB).
Positions (direct):
Ce  0.1259  0.6120  0.1361  0.61
Ce  0.6259  0.1361  0.6120  0.61
Ce  0.8741  0.3880  0.8639  0.61
Ce  0.3741  0.8639  0.3880  0.61
Ga  0.3684  0.5115  0.7516  0.01
Ga  0.8684  0.7516  0.5115  0.01
Ga  0.6316  0.4885  0.2484  0.01
Ga  0.1316  0.2484  0.4885  0.01
Ga  0.2500  0.0000  0.0000  0.00
Ga  0.7500  0.0000  0.0000  0.00
Cu  0.3822  0.2589  0.9767  0.01
Cu  0.8822  0.9767  0.2589  0.01
Cu  0.6178  0.7411  0.0233  0.01
Cu  0.1178  0.0233  0.7411  0.01
Cu  0.4852  0.7648  0.7648  0.01
Cu  0.5148  0.2352  0.2352  0.01
Cu  0.7500  0.5000  0.5000  0.01
Cu  0.2500  0.5000  0.5000  0.01
Cu  0.0148  0.2352  0.2352  0.01
Cu  0.9852  0.7648  0.7648  0.01



[2]
A geometry-optimized Ce4GaCu structure. Source: Alexandria, functional PBE-GGA.

Computed properties:
- calculated density (Mg/m³) = 8.6
- crystal system = monoclinic
- E_form (eV/atom) = -0.08

a b c (Å): 5.2501 6.1818 8.8212
angles (deg): 69.49 89.46 88.46
Positions (direct):
Ce  0.7894  0.3087  0.4180
Ce  0.7409  0.0933  0.7797
Ce  0.2894  0.2267  0.5820
Ce  0.2409  0.3729  0.2203
Ce  0.2106  0.6913  0.5820
Ce  0.7106  0.7733  0.4180
Ce  0.2591  0.9067  0.2203
Ce  0.7591  0.6271  0.7797
Ga  0.2500  0.7972  0.9056
Ga  0.7500  0.2028  0.0944
Cu  0.2500  0.2976  0.9049
Cu  0.7500  0.7024  0.0951



[3]
A geometry-optimized Ce3Ga4Cu2 structure. Source: Alexandria, functional PBE-GGA.

Computed properties:
- calculated density (Mg/m³) = 7.3
- crystal system = monoclinic
- E_form (eV/atom) = -0.46

a b c (Å): 4.4666 5.7737 8.4490
angles (deg): 70.35 74.67 67.24
Each line ends with the local moment (μB).
Positions (direct):
Ce  0.3242  0.6989  0.6527  0.77
Ce  0.0000  0.0000  0.0000  0.60
Ce  0.6758  0.3011  0.3473  0.77
Ga  0.2725  0.3858  0.0692  0.00
Ga  0.7275  0.6142  0.9308  0.00
Ga  0.0311  0.3031  0.6347  0.01
Ga  0.9689  0.6969  0.3653  0.01
Cu  0.4105  0.9174  0.2617  0.02
Cu  0.5895  0.0826  0.7383  0.02